Entry 1:
Compound: Sc2CoSiH
Source: Alexandria via LeMat-Bulk
Functional: PBE
Structure: optimized geometry

The structure belongs to space group P4/mmm (No. 123); the cell edges are 4.374, 4.374 and 3.506 Å and the angles 90.00°, 90.00° and 90.00°. The asymmetric unit holds Sc at (0.000, 0.500, 0.000), Co at (0.000, 0.000, 0.500), Si at (0.500, 0.500, 0.500) and H at (0.000, 0.000, 0.000).

The calculated volume comes out at 67.1 Å³/cell. As for the crystal system: tetragonal.

---

Entry 2:
Compound: PmPuNiRh
Source: Alexandria via LeMat-Bulk
Functional: PBE
Structure: optimized geometry

The structure belongs to space group F-43m (No. 216); the cell edges are 6.905, 6.905 and 6.905 Å and the angles 90.00°, 90.00° and 90.00°. The asymmetric unit holds Pm at (0.000, 0.000, 0.000), Pu at (0.000, 0.000, 0.500), Ni at (0.250, 0.250, 0.250) and Rh at (0.250, 0.250, 0.750).

The calculated volume comes out at 329.2 Å³/cell. As for the crystal system: cubic.

---

Entry 3:
Compound: KInNF2
Source: Alexandria via LeMat-Bulk
Functional: PBE
Structure: optimized geometry

The structure belongs to space group P4/mmm (No. 123); the cell edges are 4.536, 4.536 and 4.116 Å and the angles 90.00°, 90.00° and 90.00°. The asymmetric unit holds K at (0.000, 0.000, 0.000), In at (0.500, 0.500, 0.500), N at (0.500, 0.500, 0.000) and F at (0.000, 0.500, 0.500).

The calculated volume comes out at 84.7 Å³/cell. As for the crystal system: tetragonal. The energy above the most stable polymorph in this dataset comes out at 0.000 eV/atom. For the formation energy without anion corrections, the calculation gives -123 kJ/mol of atoms.

---

Number 1: total DFT energy (no corrections) -6.236 eV per atom, D(E_F) 0.347 states/eV per atom. Number 2: total DFT energy (no corrections) -8.375 eV per atom, D(E_F) 2.969 states/eV per atom. Number 3: total DFT energy (no corrections) -4.459 eV per atom, D(E_F) 0.491 states/eV per atom.